# 1
Below is a relaxed Tb4U2Ru5 crystal, with properties calculated at the PBE level.

abc: 8.725 17.838 6.096
angles: 90.00 90.00 90.00
Space group Ibam (No. 72)
One atom of each set of equivalent atoms:
1 Tb 0.120 0.136 0.000 (multiplicity 8)
2 Tb 0.247 0.056 0.500 (multiplicity 8)
3 U 0.000 0.304 0.250 (multiplicity 8)
4 Ru 0.000 0.000 0.250 (multiplicity 4)
5 Ru 0.063 0.417 0.500 (multiplicity 8)
6 Ru 0.171 0.223 0.500 (multiplicity 8)

Output
The calculation puts the formation energy from the elements at -261 meV per atom. Its crystal system is orthorhombic.


# 2
Below is a relaxed TbURu3 crystal, with properties calculated at the PBE level.

abc: 5.618 5.618 7.329
angles: 101.03 101.53 119.30
Space group P1 (No. 1)
One atom of each set of equivalent atoms:
1 Tb 0.000 0.000 0.000 (multiplicity 1)
2 Tb 0.405 0.747 0.152 (multiplicity 1)
3 U 0.700 0.869 0.576 (multiplicity 1)
4 U 0.702 0.372 0.074 (multiplicity 1)
5 Ru 0.048 0.894 0.407 (multiplicity 1)
6 Ru 0.354 0.852 0.745 (multiplicity 1)
7 Ru 0.408 0.390 0.799 (multiplicity 1)
8 Ru 0.511 0.355 0.407 (multiplicity 1)
9 Ru 0.891 0.387 0.745 (multiplicity 1)
10 Ru 0.994 0.357 0.351 (multiplicity 1)

Output
Its relative energy among the computed polymorphs is 55 meV/atom. The calculation puts the formation energy from the elements at -162 meV per atom. Its crystal system is triclinic.


# 3
Below is a relaxed Tb5URu6 crystal, with properties calculated at the PBE level.

abc: 4.909 6.876 14.154
angles: 90.00 90.00 90.00
Space group Immm (No. 71)
One atom of each set of equivalent atoms:
1 Tb 0.000 0.000 0.000 (multiplicity 2)
2 Tb 0.000 0.000 0.324 (multiplicity 4)
3 Tb 0.000 0.500 0.337 (multiplicity 4)
4 U 0.000 0.500 0.000 (multiplicity 2)
5 Ru 0.000 0.227 0.500 (multiplicity 4)
6 Ru 0.000 0.274 0.151 (multiplicity 8)

Output
The calculation puts the formation energy from the elements at -388 meV per atom. Its crystal system is orthorhombic.


# 4
Below is a relaxed Tb2ZrU2Ru5 crystal, with properties calculated at the PBE level.

abc: 10.536 10.536 3.527
angles: 90.00 90.00 90.00
Space group P4/mbm (No. 127)
One atom of each set of equivalent atoms:
1 Tb 0.174 0.326 0.000 (multiplicity 4)
2 Zr 0.000 0.000 0.000 (multiplicity 2)
3 U 0.138 0.638 0.000 (multiplicity 4)
4 Ru 0.000 0.500 0.500 (multiplicity 2)
5 Ru 0.050 0.794 0.500 (multiplicity 8)

Output
The calculation puts the formation energy from the elements at -281 meV per atom. Its crystal system is tetragonal.


# 5
Below is a relaxed TbVRu2 crystal, with properties calculated at the PBE level.

abc: 4.552 4.552 3.208
angles: 90.00 90.00 90.00
Space group P4/mmm (No. 123)
One atom of each set of equivalent atoms:
1 Tb 0.000 0.000 0.000 (multiplicity 1)
2 V 0.500 0.500 0.000 (multiplicity 1)
3 Ru 0.000 0.500 0.500 (multiplicity 2)

Output
The calculation puts the formation energy from the elements at -79 meV per atom. Its crystal system is tetragonal.


# 6
Below is a relaxed TbV2Ru crystal, with properties calculated at the PBE level.

abc: 4.5027 4.5027 11.0519
angles: 90.00 90.00 120.00
Space group R-3m (No. 166, hexagonal axes)
One atom of each set of equivalent atoms:
1 Tb 0.0000 0.0000 0.0000 (multiplicity 3)
2 V 0.0000 0.0000 0.2497 (multiplicity 6)
3 Ru 0.0000 0.0000 0.5000 (multiplicity 3)

Output
The calculation puts the formation energy from the elements at 244 meV per atom. Its crystal system is trigonal.


# 7
Below is a relaxed TbVRu2 crystal, with properties calculated at the PBE level.

abc: 3.129 3.129 6.811
angles: 90.00 90.00 90.00
Space group P4/mmm (No. 123)
One atom of each set of equivalent atoms:
1 Tb 0.000 0.000 0.000 (multiplicity 1)
2 V 0.000 0.000 0.500 (multiplicity 1)
3 Ru 0.500 0.500 0.294 (multiplicity 2)

Output
The calculation puts the formation energy from the elements at -229 meV per atom. Its crystal system is tetragonal.


# 8
Below is a relaxed TbYRu crystal, with properties calculated at the PBE level.

abc: 8.365 4.846 7.769
angles: 90.00 110.96 90.00
Space group C2/m (No. 12)
One atom of each set of equivalent atoms:
1 Tb 0.125 0.000 0.373 (multiplicity 4)
2 Y 0.208 0.500 0.123 (multiplicity 4)
3 Ru 0.063 0.500 0.690 (multiplicity 4)

Output
Its relative energy among the computed polymorphs is 42 meV/atom. The calculation puts the formation energy from the elements at -217 meV per atom. Its crystal system is monoclinic.


# 9
Below is a relaxed Tb2Y2Ru3 crystal, with properties calculated at the PBE level.

abc: 8.497 4.907 8.048
angles: 90.00 110.43 90.00
Space group C2/m (No. 12)
One atom of each set of equivalent atoms:
1 Tb 0.125 0.000 0.378 (multiplicity 4)
2 Y 0.124 0.500 0.871 (multiplicity 4)
3 Ru 0.000 0.000 0.000 (multiplicity 2)
4 Ru 0.249 0.500 0.248 (multiplicity 4)

Output
The calculation puts the formation energy from the elements at -246 meV per atom. Its crystal system is monoclinic.


# 10
Below is a relaxed Tb5YRu4 crystal, with properties calculated at the PBE level.

abc: 14.406 4.868 6.738
angles: 90.00 90.25 90.00
Space group C2/m (No. 12)
One atom of each set of equivalent atoms:
1 Tb 0.000 0.000 0.000 (multiplicity 2)
2 Tb 0.166 0.500 0.992 (multiplicity 4)
3 Tb 0.167 0.500 0.492 (multiplicity 4)
4 Y 0.000 0.000 0.500 (multiplicity 2)
5 Ru 0.001 0.500 0.249 (multiplicity 4)
6 Ru 0.166 0.000 0.247 (multiplicity 4)

Output
The calculation puts the formation energy from the elements at -253 meV per atom. Its crystal system is monoclinic.


# 11
Below is a relaxed Tb5Y2Ru5 crystal, with properties calculated at the PBE level.

abc: 8.365 4.824 13.735
angles: 90.00 101.63 90.00
Space group C2/m (No. 12)
One atom of each set of equivalent atoms:
1 Tb 0.000 0.000 0.000 (multiplicity 2)
2 Tb 0.191 0.000 0.572 (multiplicity 4)
3 Tb 0.215 0.500 0.144 (multiplicity 4)
4 Y 0.072 0.500 0.716 (multiplicity 4)
5 Ru 0.000 0.500 0.500 (multiplicity 2)
6 Ru 0.117 0.000 0.351 (multiplicity 4)
7 Ru 0.145 0.500 0.935 (multiplicity 4)

Output
The calculation puts the formation energy from the elements at -190 meV per atom. Its crystal system is monoclinic.


# 12
Below is a relaxed Tb4Y3Ru4 crystal, with properties calculated at the PBE level.

abc: 3.555 8.924 16.301
angles: 90.00 90.00 90.00
Space group Immm (No. 71)
One atom of each set of equivalent atoms:
1 Tb 0.000 0.191 0.164 (multiplicity 8)
2 Y 0.000 0.000 0.402 (multiplicity 4)
3 Y 0.000 0.500 0.500 (multiplicity 2)
4 Ru 0.000 0.276 0.000 (multiplicity 4)
5 Ru 0.000 0.500 0.243 (multiplicity 4)

Output
The calculation puts the formation energy from the elements at -282 meV per atom. Its crystal system is orthorhombic.


Q: Which of these has the highest formation energy from the elements?
A: TbV2Ru